Record 1
{"formula": "Nd6Si2PdCl3", "functional": "GGA-PBE", "state": "relaxed", "lattice_angstrom": [[9.181, -2.098, 0.000], [9.181, 2.098, 0.000], [-1.777, 0.000, 8.381]], "species": ["Nd", "Nd", "Nd", "Nd", "Nd", "Nd", "Si", "Si", "Pd", "Cl", "Cl", "Cl"], "fractional_positions": [[0.005, 0.005, 0.238], [0.329, 0.329, 0.426], [0.337, 0.337, 0.898], [0.663, 0.663, 0.102], [0.671, 0.671, 0.574], [0.995, 0.995, 0.762], [0.166, 0.166, 0.337], [0.834, 0.834, 0.663], [0.500, 0.500, 0.000], [0.171, 0.171, 0.837], [0.500, 0.500, 0.500], [0.829, 0.829, 0.163]], "space_group": "C2/m, No. 12", "total_magnetization_mub_per_atom": 0.000, "formation_energy_uncorrected_ev_per_fu": -13.6, "volume_a3_per_cell": 322.90}

Record 2
{"formula": "Nd3TePdCl", "functional": "GGA-PBE", "state": "relaxed", "lattice_angstrom": [[7.541, 0.000, 0.000], [0.000, 4.101, 0.000], [-2.237, 0.000, 11.164]], "species": ["Nd", "Nd", "Nd", "Nd", "Nd", "Nd", "Te", "Te", "Pd", "Pd", "Cl", "Cl"], "fractional_positions": [[0.034, 0.250, 0.144], [0.288, 0.250, 0.509], [0.455, 0.750, 0.843], [0.545, 0.250, 0.157], [0.712, 0.750, 0.491], [0.966, 0.750, 0.856], [0.333, 0.750, 0.308], [0.667, 0.250, 0.692], [0.241, 0.250, 0.947], [0.759, 0.750, 0.053], [0.105, 0.750, 0.625], [0.895, 0.250, 0.375]], "space_group": "P2_1/m, No. 11", "total_magnetization_mub_per_atom": 0.000, "formation_energy_uncorrected_ev_per_fu": -7.0, "volume_a3_per_cell": 345.27}

Record 3
{"formula": "PmNdCl", "functional": "GGA-PBE", "state": "relaxed", "lattice_angstrom": [[3.790, 0.000, 0.000], [-1.895, 3.283, 0.000], [0.000, 0.000, 7.282]], "species": ["Pm", "Nd", "Cl"], "fractional_positions": [[0.000, 0.000, 0.000], [0.333, 0.667, 0.612], [0.667, 0.333, 0.301]], "space_group": "P3m1, No. 156", "total_magnetization_mub_per_atom": 0.156, "formation_energy_uncorrected_ev_per_fu": -2.7, "volume_a3_per_cell": 90.60}

Record 4
{"formula": "PmNdCl3", "functional": "GGA-PBE", "state": "relaxed", "lattice_angstrom": [[7.922, -2.015, 0.000], [7.922, 2.015, 0.000], [-5.076, 0.000, 9.352]], "species": ["Pm", "Pm", "Nd", "Nd", "Cl", "Cl", "Cl", "Cl", "Cl", "Cl"], "fractional_positions": [[0.090, 0.090, 0.449], [0.910, 0.910, 0.551], [0.359, 0.359, 0.206], [0.641, 0.641, 0.794], [0.158, 0.158, 0.006], [0.272, 0.272, 0.383], [0.454, 0.454, 0.759], [0.546, 0.546, 0.241], [0.728, 0.728, 0.617], [0.842, 0.842, 0.994]], "space_group": "C2/m, No. 12", "total_magnetization_mub_per_atom": 0.000, "formation_energy_uncorrected_ev_per_fu": -9.2, "volume_a3_per_cell": 298.62}

Record 5
{"formula": "PmNdCl4", "functional": "GGA-PBE", "state": "relaxed", "lattice_angstrom": [[5.563, 0.000, 0.000], [0.000, 5.563, 0.000], [0.000, 0.000, 11.037]], "species": ["Pm", "Pm", "Nd", "Nd", "Cl", "Cl", "Cl", "Cl", "Cl", "Cl", "Cl", "Cl"], "fractional_positions": [[0.000, 0.000, 0.000], [0.500, 0.500, 0.500], [0.000, 0.500, 0.250], [0.500, 0.000, 0.750], [0.000, 0.000, 0.258], [0.000, 0.000, 0.742], [0.000, 0.500, 0.510], [0.000, 0.500, 0.990], [0.500, 0.000, 0.010], [0.500, 0.000, 0.490], [0.500, 0.500, 0.242], [0.500, 0.500, 0.758]], "space_group": "I-4m2, No. 119", "total_magnetization_mub_per_atom": 0.000, "formation_energy_uncorrected_ev_per_fu": -11.7, "volume_a3_per_cell": 341.61}

Record 6
{"formula": "PmNd2Cl", "functional": "GGA-PBE", "state": "relaxed", "lattice_angstrom": [[3.714, 0.000, 0.000], [-1.857, 3.216, 0.000], [0.000, 0.000, 30.821]], "species": ["Pm", "Pm", "Pm", "Nd", "Nd", "Nd", "Nd", "Nd", "Nd", "Cl", "Cl", "Cl"], "fractional_positions": [[0.000, 0.000, 0.000], [0.333, 0.667, 0.667], [0.667, 0.333, 0.333], [0.000, 0.000, 0.239], [0.000, 0.000, 0.761], [0.333, 0.667, 0.428], [0.333, 0.667, 0.906], [0.667, 0.333, 0.094], [0.667, 0.333, 0.572], [0.000, 0.000, 0.500], [0.333, 0.667, 0.167], [0.667, 0.333, 0.833]], "space_group": "R-3m, No. 166", "total_magnetization_mub_per_atom": 0.000, "formation_energy_uncorrected_ev_per_fu": -2.7, "volume_a3_per_cell": 368.11}

Record 7
{"formula": "PmNdCl2", "functional": "GGA-PBE", "state": "relaxed", "lattice_angstrom": [[3.641, 0.000, 0.000], [-1.820, 3.153, 0.000], [0.000, 0.000, 29.273]], "species": ["Pm", "Pm", "Pm", "Nd", "Nd", "Nd", "Cl", "Cl", "Cl", "Cl", "Cl", "Cl"], "fractional_positions": [[0.000, 0.000, 0.000], [0.333, 0.667, 0.667], [0.667, 0.333, 0.333], [0.000, 0.000, 0.500], [0.333, 0.667, 0.167], [0.667, 0.333, 0.833], [0.000, 0.000, 0.402], [0.000, 0.000, 0.598], [0.333, 0.667, 0.069], [0.333, 0.667, 0.264], [0.667, 0.333, 0.736], [0.667, 0.333, 0.931]], "space_group": "R-3m, No. 166", "total_magnetization_mub_per_atom": 0.065, "formation_energy_uncorrected_ev_per_fu": -5.3, "volume_a3_per_cell": 336.07, "de_polymorph_ev_per_atom": 0.041}

Record 8
{"formula": "PmNdCl2", "functional": "GGA-PBE", "state": "relaxed", "lattice_angstrom": [[3.590, 0.000, 0.000], [-1.795, 3.109, 0.000], [0.000, 0.000, 26.455]], "species": ["Pm", "Pm", "Pm", "Nd", "Nd", "Nd", "Cl", "Cl", "Cl", "Cl", "Cl", "Cl"], "fractional_positions": [[0.000, 0.000, 0.000], [0.333, 0.667, 0.667], [0.667, 0.333, 0.333], [0.000, 0.000, 0.165], [0.333, 0.667, 0.832], [0.667, 0.333, 0.498], [0.000, 0.000, 0.583], [0.000, 0.000, 0.749], [0.333, 0.667, 0.249], [0.333, 0.667, 0.415], [0.667, 0.333, 0.082], [0.667, 0.333, 0.916]], "space_group": "R3m, No. 160", "total_magnetization_mub_per_atom": 0.000, "formation_energy_uncorrected_ev_per_fu": -5.5, "volume_a3_per_cell": 295.26, "de_polymorph_ev_per_atom": 0.000}

Record 9
{"formula": "Pm3NdCl", "functional": "GGA-PBE", "state": "relaxed", "lattice_angstrom": [[5.459, 0.000, 0.000], [0.000, 5.459, 0.000], [0.000, 0.000, 5.459]], "species": ["Pm", "Pm", "Pm", "Nd", "Cl"], "fractional_positions": [[0.000, 0.000, 0.500], [0.000, 0.500, 0.000], [0.500, 0.000, 0.000], [0.500, 0.500, 0.500], [0.000, 0.000, 0.000]], "space_group": "Pm-3m, No. 221", "total_magnetization_mub_per_atom": 0.000, "formation_energy_uncorrected_ev_per_fu": -2.5, "volume_a3_per_cell": 162.65}

Record 10
{"formula": "PmNdSnCl", "functional": "GGA-PBE", "state": "relaxed", "lattice_angstrom": [[7.591, 0.000, 0.000], [0.000, 7.591, 0.000], [0.000, 0.000, 7.591]], "species": ["Pm", "Pm", "Pm", "Pm", "Nd", "Nd", "Nd", "Nd", "Sn", "Sn", "Sn", "Sn", "Cl", "Cl", "Cl", "Cl"], "fractional_positions": [[0.000, 0.000, 0.000], [0.000, 0.500, 0.500], [0.500, 0.000, 0.500], [0.500, 0.500, 0.000], [0.000, 0.000, 0.500], [0.000, 0.500, 0.000], [0.500, 0.000, 0.000], [0.500, 0.500, 0.500], [0.250, 0.250, 0.750], [0.250, 0.750, 0.250], [0.750, 0.250, 0.250], [0.750, 0.750, 0.750], [0.250, 0.250, 0.250], [0.250, 0.750, 0.750], [0.750, 0.250, 0.750], [0.750, 0.750, 0.250]], "space_group": "F-43m, No. 216", "total_magnetization_mub_per_atom": 0.000, "formation_energy_uncorrected_ev_per_fu": -3.9, "volume_a3_per_cell": 437.50}

Record 11
{"formula": "PmNdTe2Cl", "functional": "GGA-PBE", "state": "relaxed", "lattice_angstrom": [[4.402, 0.000, 0.000], [0.000, 4.402, 0.000], [0.000, 0.000, 15.138]], "species": ["Pm", "Pm", "Nd", "Nd", "Te", "Te", "Te", "Te", "Cl", "Cl"], "fractional_positions": [[0.250, 0.250, 0.131], [0.750, 0.750, 0.869], [0.250, 0.250, 0.586], [0.750, 0.750, 0.414], [0.250, 0.250, 0.371], [0.250, 0.250, 0.801], [0.750, 0.750, 0.199], [0.750, 0.750, 0.629], [0.250, 0.750, 0.000], [0.750, 0.250, 0.000]], "space_group": "P4/nmm, No. 129", "total_magnetization_mub_per_atom": 0.000, "formation_energy_uncorrected_ev_per_fu": -8.2, "volume_a3_per_cell": 293.36}

Record 12
{"formula": "Pm4Nd2Tl3Cl2", "functional": "GGA-PBE", "state": "relaxed", "lattice_angstrom": [[-2.699, 2.699, 11.769], [2.699, -2.699, 11.769], [2.699, 2.699, -11.769]], "species": ["Pm", "Pm", "Pm", "Pm", "Nd", "Nd", "Tl", "Tl", "Tl", "Cl", "Cl"], "fractional_positions": [[0.086, 0.586, 0.500], [0.414, 0.914, 0.500], [0.586, 0.086, 0.500], [0.914, 0.414, 0.500], [0.202, 0.202, 0.000], [0.798, 0.798, 0.000], [0.337, 0.337, 0.000], [0.500, 0.500, 0.000], [0.663, 0.663, 0.000], [0.075, 0.075, 0.000], [0.925, 0.925, 0.000]], "space_group": "I4/mmm, No. 139", "total_magnetization_mub_per_atom": 0.000, "formation_energy_uncorrected_ev_per_fu": -6.7, "volume_a3_per_cell": 343.03}